[1]
4
Lattice="3.463 0.000 0.000 0.000 3.463 0.000 0.000 0.000 6.291" Properties=species:S:1:pos:R:3 comment="In2ReSe, single point on PBEsol structure, DFT meta-GGA SCAN" n_ef_per_ev_atom=0.631 formation_energy_uncorrected_ev_per_atom=0.53 pbc="T T T"
In 0.000 0.000 1.451
In 0.000 0.000 4.839
Re 1.731 1.731 0.000
Se 1.731 1.731 3.145

---

[2]
5
Lattice="5.122 0.000 0.000 0.000 5.122 0.000 0.000 0.000 5.588" Properties=species:S:1:pos:R:3 comment="SrIn2ReSe, single point on PBEsol structure, DFT meta-GGA SCAN" n_ef_per_ev_atom=0.860 formation_energy_uncorrected_ev_per_atom=0.35 pbc="T T T"
Se 2.561 2.561 2.794
In 2.561 0.000 0.000
In 0.000 2.561 0.000
Re 0.000 0.000 0.000
Sr 0.000 0.000 2.794

---

[3]
4
Lattice="-3.023 2.105 2.378 -4.158 0.154 -1.381 -3.098 -2.271 2.114" Properties=species:S:1:pos:R:3 comment="InRe2Si, single point on PBEsol structure, DFT meta-GGA SCAN" polymorph_energy_ev_per_atom=0.346 n_ef_per_ev_atom=0.844 formation_energy_uncorrected_ev_per_atom=0.56 pbc="T T T"
Si 0.000 0.000 0.000
Re -7.709 -0.008 2.334
Re -2.570 -0.003 0.778
In -5.139 -0.006 1.556

---

[4]
4
Lattice="3.004 0.000 0.000 0.000 3.004 0.000 0.000 0.000 6.746" Properties=species:S:1:pos:R:3 comment="InRe2Si, single point on PBEsol structure, DFT meta-GGA SCAN" polymorph_energy_ev_per_atom=0.000 n_ef_per_ev_atom=0.548 formation_energy_uncorrected_ev_per_atom=0.22 pbc="T T T"
Re 0.000 0.000 5.410
Re 0.000 0.000 1.336
In 1.502 1.502 3.373
Si 1.502 1.502 0.000